Sr2AgPb: relaxed, PBE-GGA.

Computed properties:
magnetization	0.0	μB per cell
density of states at the Fermi level	2.8	states/eV per cell
formation energy	-6	meV/atom
space group	I4/mmm

Cell lengths 9.777, 9.777, 9.777 Å; angles 34.91, 155.51, 155.51 degrees
Sites, in units of the cell vectors:
Sr: 0.000 0.164 0.164
Pb: 0.000 0.500 0.500
Sr: 0.000 0.836 0.836
Ag: 0.000 0.000 0.000